# 1
## ZrCd (meta-GGA SCAN)

Data for a crystal of ZrCd relaxed with PBEsol.

a b c (Å): 3.164 4.171 6.344
angles (deg): 90.00 90.00 90.00
Positions (direct):
Zr  0.250  0.250  0.124
Zr  0.750  0.750  0.876
Cd  0.250  0.250  0.623
Cd  0.750  0.750  0.377

The density of states at the Fermi level is 0.48 states/eV/atom. The calculated volume comes out at 84 Å³ per cell. The value obtained for the formation energy from the elements is -0.1025 eV per atom.

=====

# 2
## ZrCd (meta-GGA SCAN)

Data for a crystal of ZrCd relaxed with PBEsol.

a b c (Å): 3.002 3.002 5.290
angles (deg): 90.00 90.00 120.00
Positions (direct):
Zr  0.000  0.000  0.000
Cd  0.333  0.667  0.500

The density of states at the Fermi level is 0.41 states/eV/atom. The calculated volume comes out at 41 Å³ per cell. The value obtained for the formation energy from the elements is -0.0553 eV per atom.

=====

# 3
## Zr4Cd3 (meta-GGA SCAN)

Data for a crystal of Zr4Cd3 relaxed with PBEsol.

a b c (Å): 5.546 5.546 5.516
angles (deg): 90.00 90.00 120.00
Positions (direct):
Zr  0.000  0.000  0.234
Zr  0.000  0.000  0.766
Zr  0.333  0.667  0.000
Zr  0.667  0.333  0.000
Cd  0.000  0.500  0.500
Cd  0.500  0.000  0.500
Cd  0.500  0.500  0.500

The polymorph energy (0 for the lowest one) comes out at 0 meV per atom. The density of states at the Fermi level is 1.06 states/eV/atom. The calculated volume comes out at 147 Å³ per cell. The value obtained for the formation energy from the elements is -0.1596 eV per atom.

=====

# 4
## ZrCd2 (meta-GGA SCAN)

Data for a crystal of ZrCd2 relaxed with PBEsol.

a b c (Å): 5.742 5.742 5.742
angles (deg): 101.99 101.99 125.78
Positions (direct):
Zr  0.250  0.250  0.000
Zr  0.750  0.750  0.000
Cd  0.146  0.646  0.793
Cd  0.354  0.146  0.500
Cd  0.646  0.854  0.500
Cd  0.854  0.354  0.207

The density of states at the Fermi level is 0.63 states/eV/atom. The calculated volume comes out at 137 Å³ per cell. The value obtained for the formation energy from the elements is 0.2160 eV per atom.

=====

# 5
## Zr3Cd (meta-GGA SCAN)

Data for a crystal of Zr3Cd relaxed with PBEsol.

a b c (Å): 3.118 3.118 8.881
angles (deg): 90.00 90.00 90.00
Positions (direct):
Zr  0.000  0.000  0.000
Zr  0.500  0.500  0.251
Zr  0.500  0.500  0.749
Cd  0.000  0.000  0.500

The density of states at the Fermi level is 0.84 states/eV/atom. The calculated volume comes out at 86 Å³ per cell. The value obtained for the formation energy from the elements is -0.1061 eV per atom.

=====

# 6
## Zr5Cd (meta-GGA SCAN)

Data for a crystal of Zr5Cd relaxed with PBEsol.

a b c (Å): 3.115 3.115 13.384
angles (deg): 90.00 90.00 90.00
Positions (direct):
Zr  0.000  0.000  0.000
Zr  0.000  0.000  0.335
Zr  0.000  0.000  0.665
Zr  0.500  0.500  0.167
Zr  0.500  0.500  0.833
Cd  0.500  0.500  0.500

The polymorph energy (0 for the lowest one) comes out at 12 meV per atom. The density of states at the Fermi level is 1.01 states/eV/atom. The calculated volume comes out at 130 Å³ per cell. The value obtained for the formation energy from the elements is -0.0473 eV per atom.

=====

# 7
## Zr3Cd (meta-GGA SCAN)

Data for a crystal of Zr3Cd relaxed with PBEsol.

a b c (Å): 5.447 10.296 6.107
angles (deg): 90.00 90.00 90.00
Positions (direct):
Zr  0.032  0.250  0.149
Zr  0.237  0.510  0.376
Zr  0.237  0.990  0.376
Zr  0.263  0.010  0.876
Zr  0.263  0.490  0.876
Zr  0.468  0.750  0.649
Zr  0.532  0.250  0.351
Zr  0.737  0.510  0.124
Zr  0.737  0.990  0.124
Zr  0.763  0.010  0.624
Zr  0.763  0.490  0.624
Zr  0.968  0.750  0.851
Cd  0.077  0.250  0.634
Cd  0.423  0.750  0.134
Cd  0.577  0.250  0.866
Cd  0.923  0.750  0.366

The density of states at the Fermi level is 1.22 states/eV/atom. The calculated volume comes out at 342 Å³ per cell. The value obtained for the formation energy from the elements is -0.0348 eV per atom.

=====

# 8
## ZrCd5 (meta-GGA SCAN)

Data for a crystal of ZrCd5 relaxed with PBEsol.

a b c (Å): 2.992 4.804 8.586
angles (deg): 90.00 90.41 90.00
Positions (direct):
Zr  0.000  0.000  0.000
Cd  0.000  0.500  0.500
Cd  0.490  0.000  0.668
Cd  0.497  0.500  0.837
Cd  0.503  0.500  0.163
Cd  0.510  0.000  0.332

The density of states at the Fermi level is 0.35 states/eV/atom. The calculated volume comes out at 123 Å³ per cell. The value obtained for the formation energy from the elements is -0.0822 eV per atom.

=====

# 9
## ZrCd2 (meta-GGA SCAN)

Data for a crystal of ZrCd2 relaxed with PBEsol.

a b c (Å): 3.039 3.039 7.738
angles (deg): 90.00 90.00 120.00
Positions (direct):
Zr  0.000  0.000  0.000
Cd  0.333  0.667  0.664
Cd  0.667  0.333  0.336

The density of states at the Fermi level is 0.42 states/eV/atom. The calculated volume comes out at 62 Å³ per cell. The value obtained for the formation energy from the elements is -0.0446 eV per atom.

=====

# 10
## Zr2Cd (meta-GGA SCAN)

Data for a crystal of Zr2Cd relaxed with PBEsol.

a b c (Å): 13.668 13.668 13.668
angles (deg): 161.68 161.68 26.02
Positions (direct):
Zr  0.042  0.792  0.250
Zr  0.121  0.371  0.750
Zr  0.208  0.958  0.250
Zr  0.371  0.121  0.250
Zr  0.629  0.879  0.750
Zr  0.792  0.042  0.750
Zr  0.879  0.629  0.250
Zr  0.958  0.208  0.750
Cd  0.290  0.540  0.750
Cd  0.460  0.710  0.750
Cd  0.540  0.290  0.250
Cd  0.710  0.460  0.250

The density of states at the Fermi level is 1.05 states/eV/atom. The calculated volume comes out at 252 Å³ per cell. The value obtained for the formation energy from the elements is -0.1054 eV per atom.

=====

# 11
## Zr6Cd7 (meta-GGA SCAN)

Data for a crystal of Zr6Cd7 relaxed with PBEsol.

a b c (Å): 10.432 10.432 10.432
angles (deg): 31.04 31.04 31.04
Positions (direct):
Zr  0.043  0.043  0.043
Zr  0.148  0.148  0.148
Zr  0.334  0.334  0.334
Zr  0.666  0.666  0.666
Zr  0.852  0.852  0.852
Zr  0.957  0.957  0.957
Cd  0.085  0.593  0.593
Cd  0.407  0.407  0.915
Cd  0.407  0.915  0.407
Cd  0.500  0.500  0.500
Cd  0.593  0.085  0.593
Cd  0.593  0.593  0.085
Cd  0.915  0.407  0.407

The density of states at the Fermi level is 0.89 states/eV/atom. The calculated volume comes out at 268 Å³ per cell. The value obtained for the formation energy from the elements is -0.1589 eV per atom.

=====

# 12
## Zr3Cd5 (meta-GGA SCAN)

Data for a crystal of Zr3Cd5 relaxed with PBEsol.

a b c (Å): 6.169 6.169 4.320
angles (deg): 90.00 90.00 90.61
Positions (direct):
Zr  0.000  0.000  0.000
Zr  0.247  0.753  0.500
Zr  0.753  0.247  0.500
Cd  0.000  0.500  0.000
Cd  0.250  0.250  0.500
Cd  0.500  0.000  0.000
Cd  0.500  0.500  0.000
Cd  0.750  0.750  0.500

The density of states at the Fermi level is 0.78 states/eV/atom. The calculated volume comes out at 164 Å³ per cell. The value obtained for the formation energy from the elements is -0.1541 eV per atom.

=====

# 13
## Zr2Cd (meta-GGA SCAN)

Data for a crystal of Zr2Cd relaxed with PBEsol.

a b c (Å): 7.254 7.254 7.254
angles (deg): 155.91 155.91 34.33
Positions (direct):
Zr  0.168  0.168  0.000
Zr  0.832  0.832  0.000
Cd  0.500  0.500  0.000

The density of states at the Fermi level is 0.88 states/eV/atom. The calculated volume comes out at 64 Å³ per cell. The value obtained for the formation energy from the elements is -0.1541 eV per atom.

=====

# 14
## Zr3Cd (meta-GGA SCAN)

Data for a crystal of Zr3Cd relaxed with PBEsol.

a b c (Å): 5.460 5.460 5.460
angles (deg): 133.35 133.35 68.11
Positions (direct):
Zr  0.000  0.000  0.000
Zr  0.250  0.750  0.500
Zr  0.750  0.250  0.500
Cd  0.500  0.500  0.000

The density of states at the Fermi level is 0.61 states/eV/atom. The calculated volume comes out at 85 Å³ per cell. The value obtained for the formation energy from the elements is -0.1252 eV per atom.

=====

# 15
## ZrCd2 (meta-GGA SCAN)

Data for a crystal of ZrCd2 relaxed with PBEsol.

a b c (Å): 6.673 6.673 4.421
angles (deg): 90.00 90.00 141.64
Positions (direct):
Zr  0.086  0.914  0.750
Zr  0.914  0.086  0.250
Cd  0.249  0.751  0.250
Cd  0.414  0.586  0.750
Cd  0.586  0.414  0.250
Cd  0.751  0.249  0.750

The density of states at the Fermi level is 0.50 states/eV/atom. The calculated volume comes out at 122 Å³ per cell. The value obtained for the formation energy from the elements is -0.1212 eV per atom.

=====

# 16
## ZrCd (meta-GGA SCAN)

Data for a crystal of ZrCd relaxed with PBEsol.

a b c (Å): 6.457 6.457 6.605
angles (deg): 104.82 104.82 28.28
Positions (direct):
Zr  0.000  0.000  0.000
Zr  0.010  0.010  0.519
Zr  0.674  0.674  0.847
Cd  0.330  0.330  0.658
Cd  0.338  0.338  0.188
Cd  0.669  0.669  0.334

The density of states at the Fermi level is 0.49 states/eV/atom. The calculated volume comes out at 126 Å³ per cell. The value obtained for the formation energy from the elements is -0.1518 eV per atom.

=====

# 17
## ZrCd5 (meta-GGA SCAN)

Data for a crystal of ZrCd5 relaxed with PBEsol.

a b c (Å): 6.664 6.664 4.446
angles (deg): 90.00 90.00 141.78
Positions (direct):
Zr  0.000  0.000  0.000
Cd  0.162  0.838  0.500
Cd  0.328  0.672  0.000
Cd  0.500  0.500  0.500
Cd  0.672  0.328  0.000
Cd  0.838  0.162  0.500

The density of states at the Fermi level is 0.39 states/eV/atom. The calculated volume comes out at 122 Å³ per cell. The value obtained for the formation energy from the elements is -0.1134 eV per atom.

=====

# 18
## Zr3Cd (meta-GGA SCAN)

Data for a crystal of Zr3Cd relaxed with PBEsol.

a b c (Å): 4.384 4.384 4.384
angles (deg): 90.00 90.00 90.00
Positions (direct):
Zr  0.000  0.000  0.500
Zr  0.000  0.500  0.000
Zr  0.500  0.000  0.000
Cd  0.500  0.500  0.500

The density of states at the Fermi level is 0.90 states/eV/atom. The calculated volume comes out at 84 Å³ per cell. The value obtained for the formation energy from the elements is -0.1365 eV per atom.

=====

# 19
## Zr2Cd (meta-GGA SCAN)

Data for a crystal of Zr2Cd relaxed with PBEsol.

a b c (Å): 6.402 6.402 6.601
angles (deg): 103.68 103.68 29.09
Positions (direct):
Zr  0.003  0.003  0.254
Zr  0.334  0.334  0.415
Zr  0.666  0.666  0.585
Zr  0.997  0.997  0.746
Cd  0.331  0.331  0.921
Cd  0.669  0.669  0.079

The density of states at the Fermi level is 0.71 states/eV/atom. The calculated volume comes out at 128 Å³ per cell. The value obtained for the formation energy from the elements is -0.0964 eV per atom.

=====

# 20
## Zr3Cd (meta-GGA SCAN)

Data for a crystal of Zr3Cd relaxed with PBEsol.

a b c (Å): 5.473 5.473 5.337
angles (deg): 101.26 101.26 33.16
Positions (direct):
Zr  0.000  0.000  0.000
Zr  0.242  0.242  0.745
Zr  0.758  0.758  0.255
Cd  0.500  0.500  0.500

The density of states at the Fermi level is 1.46 states/eV/atom. The calculated volume comes out at 86 Å³ per cell. The value obtained for the formation energy from the elements is -0.0284 eV per atom.